Here is crystalline TmLuSn2 at its relaxed geometry from the Alexandria database. Energies are from PBE-GGA.

- energy above the most stable polymorph in this dataset (kJ/mol of formula units) = 26
- energy of formation from the pure elements (eV per atom) = -0.493
- Fermi-level density of states (states/eV/cell) = 2.552
- E_tot (eV per atom) = -4.7429

```
4
Lattice="5.287 0.000 0.000 2.643 4.578 0.000 2.643 1.526 4.316" Properties=species:S:1:pos:R:3 pbc="T T T"
Sn 7.930 4.578 3.237
Sn 2.643 1.526 1.079
Lu 0.000 0.000 0.000
Tm 5.287 3.052 2.158
```

---

Here is crystalline TmLuSn2 at its relaxed geometry from the Alexandria database. Energies are from PBE-GGA.

- energy above the most stable polymorph in this dataset (kJ/mol of formula units) = 33
- energy of formation from the pure elements (eV per atom) = -0.473
- Fermi-level density of states (states/eV/cell) = 1.283
- E_tot (eV per atom) = -4.7230

```
4
Lattice="3.735 0.000 0.000 1.867 3.234 0.000 1.867 1.078 9.009" Properties=species:S:1:pos:R:3 pbc="T T T"
Lu 0.000 0.000 0.000
Sn 1.867 1.078 2.240
Sn 5.602 3.234 6.769
Tm 3.735 2.156 4.504
```